## Pm2DyTm3Te6 (GGA-PBE)

Data for Pm2DyTm3Te6 after structural relaxation.

Cell: 9.827 9.827 8.834 Å, 104.60 104.60 25.37°
Element x y z (fractional)
Pm  0.169  0.169  0.338
Pm  0.831  0.831  0.662
Dy  0.500  0.500  0.000
Tm  0.171  0.171  0.836
Tm  0.500  0.500  0.500
Tm  0.829  0.829  0.164
Te  0.004  0.004  0.749
Te  0.334  0.334  0.926
Te  0.338  0.338  0.408
Te  0.662  0.662  0.592
Te  0.666  0.666  0.074
Te  0.996  0.996  0.251

- total moment (μB/f.u.) = 0.000
- theoretical density (kg/m³) = 8113
- DFT total energy (eV for the cell shown) = -61.628
- energy relative to the elements, uncorrected (meV/atom) = -1272

## GdTmRuAu (GGA-PBE)

Data for GdTmRuAu after structural relaxation.

Cell: 4.940 4.940 4.940 Å, 60.00 60.00 60.00°
Element x y z (fractional)
Gd  0.000  0.000  0.000
Tm  0.500  0.500  0.500
Ru  0.750  0.750  0.750
Au  0.250  0.250  0.250

- total moment (μB/f.u.) = 6.956
- theoretical density (kg/m³) = 12159
- ΔE_f (meV/atom) = -579
- DFT total energy (eV for the cell shown) = -33.422